Entry 1:
Material: CoSn4Pt
Method: DFT, PBE
State: relaxed

Output
Its volume is 22.22 Å³ per atom. The crystal system is monoclinic. The total energy comes out at -5.046 eV per atom.

Unit cell a=5.577 b=6.531 c=8.466 alpha=112.29 beta=108.78 gamma=91.12
Atoms (fractional coordinates):
Co1 0.223 0.973 0.945
Co2 0.777 0.027 0.055
Sn1 0.924 0.251 0.883
Sn2 0.842 0.688 0.672
Sn3 0.459 0.632 0.883
Sn4 0.330 0.984 0.672
Sn5 0.670 0.016 0.328
Sn6 0.541 0.368 0.117
Sn7 0.158 0.312 0.328
Sn8 0.076 0.749 0.117
Pt1 0.446 0.696 0.392
Pt2 0.554 0.304 0.608

Entry 2:
Material: Co3SnPt
Method: DFT, PBE
State: relaxed

Output
As for the energy above the most stable polymorph in this dataset: 0.0 kJ per mole of atoms. Its volume is 19.88 Å³ per atom. The crystal system is cubic. The total energy comes out at -5.265 eV per atom.

Unit cell a=4.633 b=4.633 c=4.633 alpha=90.00 beta=90.00 gamma=90.00
Site moments in Bohr magnetons follow the coordinates.
Atoms (fractional coordinates):
Co1 0.000 0.500 0.000  1.92
Co2 0.000 0.000 0.500  2.57
Co3 0.500 0.000 0.000  1.39
Sn1 0.500 0.500 0.500  -0.03
Pt1 0.000 0.000 0.000  0.53

Entry 3:
Material: CoSn3Pt
Method: DFT, PBE
State: relaxed

Output
As for the energy above the most stable polymorph in this dataset: 0.0 kJ per mole of atoms. Its volume is 22.25 Å³ per atom. The crystal system is cubic. The total energy comes out at -4.865 eV per atom.

Unit cell a=4.810 b=4.810 c=4.810 alpha=90.00 beta=90.00 gamma=90.00
Atoms (fractional coordinates):
Co1 0.000 0.000 0.000
Sn1 0.000 0.500 0.000
Sn2 0.000 0.000 0.500
Sn3 0.500 0.000 0.000
Pt1 0.500 0.500 0.500

Entry 4:
Material: CoSn8Pt2
Method: DFT, PBE
State: relaxed

Output
Its volume is 24.49 Å³ per atom. The crystal system is triclinic. The total energy comes out at -4.796 eV per atom.

Unit cell a=5.297 b=7.833 c=7.948 alpha=125.20 beta=90.58 gamma=88.26
Atoms (fractional coordinates):
Co1 0.000 0.000 0.000
Sn1 0.445 0.696 0.281
Sn2 0.555 0.304 0.719
Sn3 0.859 0.715 0.028
Sn4 0.309 0.076 0.276
Sn5 0.220 0.686 0.671
Sn6 0.141 0.285 0.972
Sn7 0.691 0.924 0.724
Sn8 0.780 0.314 0.329
Pt1 0.050 0.351 0.657
Pt2 0.950 0.649 0.343

Entry 5:
Material: CoSn2Pt9
Method: DFT, PBE
State: relaxed

Output
Its volume is 16.08 Å³ per atom. The crystal system is tetragonal. The total energy comes out at -6.054 eV per atom.

Unit cell a=4.004 b=4.004 c=12.031 alpha=90.00 beta=90.00 gamma=90.00
Site moments in Bohr magnetons follow the coordinates.
Atoms (fractional coordinates):
Co1 0.000 0.000 0.000  2.25
Sn1 0.000 0.000 0.327  0.02
Sn2 0.000 0.000 0.673  0.02
Pt1 0.500 0.500 0.000  0.34
Pt2 0.500 0.500 0.330  0.09
Pt3 0.500 0.500 0.670  0.09
Pt4 0.500 0.000 0.156  0.25
Pt5 0.500 0.000 0.500  0.05
Pt6 0.500 0.000 0.844  0.25
Pt7 0.000 0.500 0.156  0.25
Pt8 0.000 0.500 0.500  0.05
Pt9 0.000 0.500 0.844  0.25

Entry 6:
Material: CoSnPt6
Method: DFT, PBE
State: relaxed

Output
Its volume is 15.76 Å³ per atom. The crystal system is tetragonal. The total energy comes out at -6.121 eV per atom.

Unit cell a=3.972 b=3.972 c=7.989 alpha=90.00 beta=90.00 gamma=90.00
Site moments in Bohr magnetons follow the coordinates.
Atoms (fractional coordinates):
Co1 0.000 0.000 0.500  2.20
Sn1 0.000 0.000 0.000  0.01
Pt1 0.500 0.500 0.000  0.14
Pt2 0.500 0.500 0.500  0.36
Pt3 0.500 0.000 0.263  0.26
Pt4 0.500 0.000 0.737  0.26
Pt5 0.000 0.500 0.263  0.26
Pt6 0.000 0.500 0.737  0.26

Entry 7:
Material: CoSn4Pt2
Method: DFT, PBE
State: relaxed

Output
Its volume is 22.74 Å³ per atom. The crystal system is tetragonal. The total energy comes out at -5.069 eV per atom.

Unit cell a=4.985 b=4.985 c=7.309 alpha=70.06 beta=70.06 gamma=90.00
Atoms (fractional coordinates):
Co1 0.000 0.000 0.000
Sn1 0.191 0.191 0.618
Sn2 0.809 0.809 0.382
Sn3 0.000 0.500 0.000
Sn4 0.500 0.000 0.000
Pt1 0.391 0.391 0.218
Pt2 0.609 0.609 0.782

Entry 8:
Material: CoSn3Pt12
Method: DFT, PBE
State: relaxed

Output
Its volume is 16.24 Å³ per atom. The crystal system is tetragonal. The total energy comes out at -6.023 eV per atom.

Unit cell a=4.018 b=4.018 c=16.095 alpha=90.00 beta=90.00 gamma=90.00
Site moments in Bohr magnetons follow the coordinates.
Atoms (fractional coordinates):
Co1 0.000 0.000 0.000  2.24
Sn1 0.000 0.000 0.243  0.02
Sn2 0.000 0.000 0.500  0.01
Sn3 0.000 0.000 0.757  0.02
Pt1 0.500 0.500 0.000  0.30
Pt2 0.500 0.500 0.246  0.08
Pt3 0.500 0.500 0.500  0.02
Pt4 0.500 0.500 0.754  0.08
Pt5 0.500 0.000 0.116  0.24
Pt6 0.500 0.000 0.372  0.03
Pt7 0.500 0.000 0.628  0.03
Pt8 0.500 0.000 0.884  0.24
Pt9 0.000 0.500 0.116  0.24
Pt10 0.000 0.500 0.372  0.03
Pt11 0.000 0.500 0.628  0.03
Pt12 0.000 0.500 0.884  0.24

The calculation returns the following ΔE_f values, one per record and in order: -186, 1007, 166, -141, -264, -202, -41, -298 meV per atom.